! LiCe2Ga3, relaxed, DFT PBE-GGA; values from VASP
! ΔE to the lowest computed polymorph in eV/atom: 0.0283
! Space group: No. 69
! V in A^3/atom: 20.994
&SYSTEM
  ibrav = 0, nat = 12, ntyp = 3
/
ATOMIC_SPECIES
Li 6.94 Li.upf
Ce 140.12 Ce.upf
Ga 69.72 Ga.upf
ATOMIC_POSITIONS crystal
Li 0.170 0.170 0.830
Li 0.830 0.830 0.170
Ce 0.217 0.783 0.783
Ce 0.250 0.250 0.250
Ce 0.750 0.750 0.750
Ce 0.783 0.217 0.217
Ga 0.176 0.657 0.343
Ga 0.335 0.335 0.665
Ga 0.343 0.824 0.176
Ga 0.657 0.176 0.824
Ga 0.665 0.665 0.335
Ga 0.824 0.343 0.657
CELL_PARAMETERS angstrom
0.000 4.649 8.044
3.368 0.000 8.044
3.368 4.649 0.000